P) The following is a DFT calculation (PBE) of crystalline RbP2Pt at its relaxed geometry.

Cell and atoms, written as POSCAR:
```
RbP2Pt
1.0
0.000 3.388 3.388
3.388 0.000 3.388
3.388 3.388 0.000
Rb P Pt
1 2 1
Cartesian
0.000 0.000 0.000
1.694 1.694 1.694
5.083 5.083 5.083
3.388 3.388 3.388
```

Results
Total magnetic moment ... 0.00 μB/f.u.
Space-group type ... Fm-3m
Fermi-level density of states ... 2.36 states/eV/f.u.

Q) The following is a DFT calculation (PBE) of crystalline RbP2Pt at its relaxed geometry.

Cell and atoms, written as POSCAR:
```
RbP2Pt
1.0
-3.661 3.661 4.012
3.661 -3.661 4.012
3.661 3.661 -4.012
Rb P Pt
2 4 2
Cartesian
0.000 0.000 0.000
0.000 3.661 2.006
1.830 -0.959 3.009
2.702 1.830 1.003
1.830 4.620 -1.003
0.959 1.830 5.014
3.661 0.000 2.006
0.000 0.000 4.012
```

Results
Total magnetic moment ... 0.00 μB/f.u.
Space-group type ... I-42d
Fermi-level density of states ... 2.48 states/eV/f.u.

Which of them is most stable, and which least? Most stable: Q); least stable: P).

P) The following is a DFT calculation (PBE) of crystalline RbP2PtS at its relaxed geometry.

Cell and atoms, written as POSCAR:
```
RbP2PtS
1.0
4.676 0.000 0.000
0.000 4.676 0.000
0.000 0.000 5.498
Rb P Pt S
1 2 1 1
Cartesian
0.000 0.000 0.000
0.000 2.338 2.749
2.338 0.000 2.749
2.338 2.338 2.749
2.338 2.338 0.000
```

Results
Total magnetic moment ... 0.00 μB/f.u.
Space-group type ... P4/mmm
Fermi-level density of states ... 2.56 states/eV/f.u.

Q) The following is a DFT calculation (PBE) of crystalline RbP2PtS at its relaxed geometry.

Cell and atoms, written as POSCAR:
```
RbP2PtS
1.0
5.298 0.000 0.000
0.000 5.298 0.000
0.000 0.000 5.252
Rb P Pt S
1 2 1 1
Cartesian
0.000 0.000 0.000
0.000 2.649 0.000
2.649 0.000 0.000
2.649 2.649 2.626
0.000 0.000 2.626
```

Results
Total magnetic moment ... 0.00 μB/f.u.
Space-group type ... P4/mmm
Fermi-level density of states ... 7.57 states/eV/f.u.

Which of them is most stable, and which least? Most stable: P); least stable: Q).